Computed, not measured: ScZnRe2Te after structural relaxation at the GGA-PBE level of DFT.

Raw formation energy: 1.716 eV per atom
VASP energy: -27.06 eV/cell
Space-group type: P4/mmm (123)

Cell lengths 4.864, 5.121, 4.864 Å; angles 90.00, 90.00, 90.00 degrees
Fractional coordinates of all 5 atoms:
Re1 0.500 0.000 0.000
Re2 0.000 0.000 0.500
Sc1 0.000 0.500 0.000
Zn1 0.500 0.500 0.500
Te1 0.000 0.000 0.000